Record 1
A plane-wave DFT calculation with PBE was carried out for a relaxed Co2ReSi crystal.

a = 4.064 Å, b = 4.064 Å, c = 4.064 Å
α = 60.00°, β = 60.00°, γ = 60.00°
Fractional coordinates of all 4 atoms:
Co: 0.000 0.000 0.000
Co: 0.250 0.250 0.250
Re: 0.500 0.500 0.500
Si: 0.750 0.750 0.750

Raw total energy   -8.1324 eV/atom
SG   No. 216

---

Record 2
A plane-wave DFT calculation with PBE was carried out for a relaxed Co2ReSi crystal.

a = 2.649 Å, b = 3.576 Å, c = 5.026 Å
α = 90.00°, β = 90.00°, γ = 90.00°
Fractional coordinates of all 4 atoms:
Co: 0.000 0.000 0.245
Co: 0.000 0.000 0.755
Re: 0.500 0.500 0.500
Si: 0.500 0.500 0.000

Raw total energy   -8.1733 eV/atom
SG   No. 47

---

Record 3
A plane-wave DFT calculation with PBE was carried out for a relaxed Co2ReSi crystal.

a = 4.700 Å, b = 4.700 Å, c = 4.700 Å
α = 143.29°, β = 129.50°, γ = 64.03°
Fractional coordinates of all 4 atoms:
Co: 0.231 0.231 0.000
Co: 0.769 0.769 0.000
Re: 0.500 0.000 0.500
Si: 0.000 0.500 0.500

Raw total energy   -8.1595 eV/atom
SG   No. 71

---

Record 4
A plane-wave DFT calculation with PBE was carried out for a relaxed Co2ReSi crystal.

a = 4.386 Å, b = 4.386 Å, c = 2.629 Å
α = 90.00°, β = 90.00°, γ = 109.03°
Fractional coordinates of all 4 atoms:
Co: 0.000 0.500 0.000
Co: 0.500 0.000 0.000
Re: 0.000 0.000 0.500
Si: 0.500 0.500 0.500

Raw total energy   -8.1178 eV/atom
SG   No. 65

---

Record 5
A plane-wave DFT calculation with PBE was carried out for a relaxed Co2ReSi crystal.

a = 4.398 Å, b = 4.398 Å, c = 4.398 Å
α = 130.95°, β = 130.95°, γ = 71.89°
Fractional coordinates of all 4 atoms:
Co: 0.000 0.000 0.000
Co: 0.750 0.250 0.500
Re: 0.250 0.750 0.500
Si: 0.500 0.500 0.000

Raw total energy   -8.1372 eV/atom
SG   No. 119

---

Record 6
A plane-wave DFT calculation with PBE was carried out for a relaxed CoReSi crystal.

a = 2.710 Å, b = 2.710 Å, c = 5.979 Å
α = 90.00°, β = 90.00°, γ = 120.00°
Fractional coordinates of all 3 atoms:
Co: 0.000 0.000 0.000
Re: 0.667 0.333 0.346
Si: 0.333 0.667 0.704

SG   No. 156
Polymorph energy (0 for the lowest one)   66 meV per atom

---

Record 7
A plane-wave DFT calculation with PBE was carried out for a relaxed Co4ReSi crystal.

a = 4.595 Å, b = 4.595 Å, c = 4.595 Å
α = 60.00°, β = 60.00°, γ = 60.00°
Fractional coordinates of all 6 atoms:
Co: 0.125 0.125 0.125
Co: 0.125 0.125 0.624
Co: 0.125 0.624 0.125
Co: 0.624 0.125 0.125
Re: 0.750 0.750 0.750
Si: 0.500 0.500 0.500

Raw total energy   -7.5328 eV/atom
SG   No. 216

---

Record 8
A plane-wave DFT calculation with PBE was carried out for a relaxed CoReSi crystal.

a = 4.011 Å, b = 4.011 Å, c = 2.687 Å
α = 90.00°, β = 90.00°, γ = 120.00°
Fractional coordinates of all 3 atoms:
Co: 0.000 0.000 0.000
Re: 0.667 0.333 0.500
Si: 0.333 0.667 0.000

SG   No. 187
Polymorph energy (0 for the lowest one)   0 meV per atom

---

Record 9
A plane-wave DFT calculation with PBE was carried out for a relaxed CoRe2Si2 crystal.

a = 5.802 Å, b = 5.802 Å, c = 3.833 Å
α = 90.00°, β = 90.00°, γ = 90.00°
Fractional coordinates of all 10 atoms:
Co: 0.000 0.000 0.000
Co: 0.500 0.500 0.000
Re: 0.177 0.323 0.500
Re: 0.323 0.823 0.500
Re: 0.677 0.177 0.500
Re: 0.823 0.677 0.500
Si: 0.141 0.641 0.000
Si: 0.359 0.141 0.000
Si: 0.641 0.859 0.000
Si: 0.859 0.359 0.000

Raw total energy   -8.7163 eV/atom
SG   No. 127

---

Record 10
A plane-wave DFT calculation with PBE was carried out for a relaxed Co2ReSi crystal.

a = 4.436 Å, b = 4.436 Å, c = 4.436 Å
α = 131.80°, β = 131.80°, γ = 70.55°
Fractional coordinates of all 4 atoms:
Co: 0.250 0.750 0.500
Co: 0.750 0.250 0.500
Re: 0.000 0.000 0.000
Si: 0.500 0.500 0.000

Raw total energy   -8.1275 eV/atom
SG   No. 139

---

Record 11
A plane-wave DFT calculation with PBE was carried out for a relaxed Co2ReSi crystal.

a = 2.945 Å, b = 4.025 Å, c = 4.072 Å
α = 90.00°, β = 90.00°, γ = 90.00°
Fractional coordinates of all 4 atoms:
Co: 0.000 0.000 0.000
Co: 0.500 0.500 0.000
Re: 0.000 0.500 0.500
Si: 0.500 0.000 0.500

Raw total energy   -8.0789 eV/atom
SG   No. 47

---

Record 12
A plane-wave DFT calculation with PBE was carried out for a relaxed Co2ReSi crystal.

a = 3.620 Å, b = 3.620 Å, c = 3.629 Å
α = 90.00°, β = 90.00°, γ = 90.00°
Fractional coordinates of all 4 atoms:
Co: 0.000 0.500 0.000
Co: 0.500 0.000 0.000
Re: 0.000 0.000 0.500
Si: 0.500 0.500 0.500

Raw total energy   -8.0769 eV/atom
SG   No. 123